# 1
Material: TlCd2Br
Method: DFT, GGA-PBE
State: relaxed

Properties
Uncorrected formation energy: -0.50 eV per formula unit
Space group: No. 47
Fermi-level density of states: 1.1 states/eV per cell
Total magnetic moment: 0.0 μB per cell

Cell: 3.7834 5.1440 6.2554 Å, 90.00 90.00 90.00°
With the nearest neighbours (Å) after each atom.
Atoms (fractional coordinates):
Tl  0.0000  0.0000  0.0000  2 Br 3.13
Cd  0.5000  0.5000  0.2642  1 Cd 2.95
Cd  0.5000  0.5000  0.7358  1 Cd 2.95
Br  0.0000  0.0000  0.5000  2 Tl 3.13

---

# 2
Material: OsAuCl2
Method: DFT, GGA-PBE
State: relaxed

Properties
Uncorrected formation energy: 4.96 eV per formula unit
Space group: No. 216
Fermi-level density of states: 3.8 states/eV per cell
Total magnetic moment: 3.5 μB per cell

Cell: 4.7380 4.7380 4.7380 Å, 60.00 60.00 60.00°
With the nearest neighbours (Å) after each atom.
Atoms (fractional coordinates):
Os  0.0000  0.0000  0.0000  4 Cl 2.90, 4 Au 2.90
Au  0.2500  0.2500  0.2500  4 Cl 2.90, 4 Os 2.90
Cl  0.5000  0.5000  0.5000  4 Cl 2.90, 4 Au 2.90
Cl  0.7500  0.7500  0.7500  4 Cl 2.90, 4 Os 2.90

---

# 3
Material: BaSc
Method: DFT, GGA-PBE
State: relaxed

Properties
ΔE_f: 0.27 eV per atom
Space group: No. 63
Fermi-level density of states: 7.3 states/eV per cell
Total magnetic moment: 0.0 μB per cell

Cell: 10.4042 10.4042 4.0490 Å, 90.00 90.00 158.26°
With the nearest neighbours (Å) after each atom.
Atoms (fractional coordinates):
Ba  0.0906  0.9094  0.7500  5 Sc 3.80-3.97, 6 Ba 3.92-4.22
Ba  0.9094  0.0906  0.2500  5 Sc 3.80-3.97, 6 Ba 3.92-4.22
Sc  0.2850  0.7150  0.7500  4 Sc 3.16
Sc  0.7150  0.2850  0.2500  4 Sc 3.16